A plane-wave DFT calculation with PBE+U was carried out for a relaxed structure of SrCrCO5.

symmetry: C2/c
density: 4.36 g cm⁻³
crystal system: monoclinic
VASP energy: -56.882 eV/f.u.

Lattice parameters (Å, degrees): 5.407 5.407 6.850 103.83 103.83 106.33
Fractional coordinates of all 16 atoms:
Sr1 0.156 0.844 0.750
Sr2 0.844 0.156 0.250
Cr1 0.500 0.500 0.000
Cr2 0.500 0.500 0.500
C1 0.194 0.806 0.250
C2 0.806 0.194 0.750
O1 0.071 0.260 0.900
O2 0.190 0.622 0.366
O3 0.260 0.071 0.400
O4 0.378 0.810 0.134
O5 0.431 0.569 0.750
O6 0.569 0.431 0.250
O7 0.622 0.190 0.866
O8 0.740 0.929 0.600
O9 0.810 0.378 0.634
O10 0.929 0.740 0.100